Material: ScFeB3
Method: DFT, GGA-PBE
State: relaxed

Calculated values
* calculated volume: 74 Å³ per cell
* SG: No. 221
* formation energy from the elements: 2.187 eV per atom
* excess energy over the best structure of this formula in the dataset: 2772 meV/atom

Cell: 4.2066 4.2066 4.2066 Å, 90.00 90.00 90.00°
Element x y z (fractional)
Sc1 0.0000 0.0000 0.0000
Fe1 0.5000 0.5000 0.5000
B1 0.0000 0.0000 0.5000
B2 0.0000 0.5000 0.0000
B3 0.5000 0.0000 0.0000